VASP calculation (PBE) on a relaxed structure of Ce2ZnNi4As3.

Formation energy from the elements in eV/atom: -0.78
Fermi-level density of states in states/eV/cell: 9.1

Cell lengths 4.0944, 4.0944, 9.7435 Å; angles 90.00, 90.00, 90.00 degrees
Space group P-4m2 (No. 115)
Asymmetric unit:
Ce 0.0000 0.5000 0.2443 (multiplicity 2)
Zn 0.0000 0.0000 0.5000 (multiplicity 1)
Ni 0.0000 0.0000 0.0000 (multiplicity 1)
Ni 0.0000 0.5000 0.6310 (multiplicity 2)
Ni 0.5000 0.5000 0.0000 (multiplicity 1)
As 0.0000 0.5000 0.8694 (multiplicity 2)
As 0.5000 0.5000 0.5000 (multiplicity 1)